DFT (PBE) results for a relaxed RbSr3As crystal.

Computed properties:
energy of formation from the pure elements = 1.020 eV per atom
magnetization = 2.0 Bohr magnetons per cell
E above lowest polymorph = 7.205 eV/f.u.

Cell lengths 6.3478, 6.3478, 6.3478 Å; angles 90.00, 90.00, 90.00 degrees
Element x y z (fractional)
Rb 0.0000 0.0000 0.0000
Sr 0.0000 0.0000 0.5000
Sr 0.0000 0.5000 0.0000
Sr 0.5000 0.0000 0.0000
As 0.5000 0.5000 0.5000